(1)
Entry from Alexandria via LeMat-Bulk: a relaxed Ho2TiSi3Ir4 crystal (PBE).

Lattice parameters (Å, degrees): 4.0587 4.0587 10.4243 90.00 90.00 90.00
With the nearest neighbours (Å) after each atom.
Fractional positions:
Ho 0.0000 0.5000 0.2402  6 Si 3.10-3.38, 8 Ir 3.11-3.22, 2 Ti 3.38
Ho 0.5000 0.0000 0.7598  6 Si 3.10-3.38, 8 Ir 3.11-3.22, 2 Ti 3.38
Ti 0.0000 0.0000 0.5000  4 Ir 2.52
Si 0.0000 0.5000 0.8735  5 Ir 2.39-2.42
Si 0.5000 0.0000 0.1265  5 Ir 2.39-2.42
Si 0.5000 0.5000 0.5000  4 Ir 2.52
Ir 0.0000 0.0000 0.0000  4 Si 2.42
Ir 0.0000 0.5000 0.6438  3 Si 2.39-2.52, 2 Ti 2.52
Ir 0.5000 0.0000 0.3562  3 Si 2.39-2.52, 2 Ti 2.52
Ir 0.5000 0.5000 0.0000  4 Si 2.42

Summary:
- Symmetry: P-4m2
- Uncorrected formation energy: -1041 meV per atom



(2)
Entry from Alexandria via LeMat-Bulk: a relaxed Ho2Tm2SiIr4 crystal (PBE).

Lattice parameters (Å, degrees): 6.3163 6.3163 6.3163 119.32 119.32 91.19
With the nearest neighbours (Å) after each atom.
Fractional positions:
Ho 0.1909 0.1909 0.0000  1 Si 2.73, 4 Ir 2.78
Ho 0.8091 0.8091 0.0000  1 Si 2.73, 4 Ir 2.78
Tm 0.2500 0.7500 0.5000  8 Ir 3.16, 4 Ho 3.23
Tm 0.7500 0.2500 0.5000  8 Ir 3.16, 4 Ho 3.23
Si 0.5000 0.5000 0.0000  4 Ir 2.30
Ir 0.2451 0.2451 0.4901  1 Si 2.30
Ir 0.2451 0.7549 0.0000  1 Si 2.30
Ir 0.7549 0.2451 0.0000  1 Si 2.30
Ir 0.7549 0.7549 0.5099  1 Si 2.30

Summary:
- Symmetry: I4/mmm
- Uncorrected formation energy: -575 meV per atom



(3)
Entry from Alexandria via LeMat-Bulk: a relaxed HoTmSiIr crystal (PBE).

Lattice parameters (Å, degrees): 3.9265 5.6459 5.6459 43.15 90.00 90.00
With the nearest neighbours (Å) after each atom.
Fractional positions:
Ho 0.0000 0.0000 0.0000  3 Ir 2.93-3.11, 4 Si 2.97
Tm 0.5000 0.2836 0.2836  4 Ir 2.93, 3 Si 3.01-3.07
Si 0.5000 0.5759 0.5759  2 Ir 2.48
Ir 0.0000 0.7206 0.7206  2 Si 2.48

Summary:
- Symmetry: Amm2
- Uncorrected formation energy: -890 meV per atom



(4)
Entry from Alexandria via LeMat-Bulk: a relaxed Y2Ho2Si4Ir crystal (PBE).

Lattice parameters (Å, degrees): 6.4376 6.4376 6.4376 115.73 115.73 97.56
With the nearest neighbours (Å) after each atom.
Fractional positions:
Y 0.2500 0.7500 0.5000  8 Si 3.22, 4 Ho 3.47
Y 0.7500 0.2500 0.5000  8 Si 3.22, 4 Ho 3.47
Ho 0.1871 0.1871 0.0000  1 Ir 2.65, 4 Si 2.91
Ho 0.8129 0.8129 0.0000  1 Ir 2.65, 4 Si 2.91
Si 0.2522 0.2522 0.5044  1 Ir 2.40
Si 0.2522 0.7478 0.0000  1 Ir 2.40
Si 0.7478 0.2522 0.0000  1 Ir 2.40
Si 0.7478 0.7478 0.4956  1 Ir 2.40
Ir 0.5000 0.5000 0.0000  4 Si 2.40, 2 Ho 2.65

Summary:
- Symmetry: I4/mmm
- Uncorrected formation energy: -385 meV per atom



(5)
Entry from Alexandria via LeMat-Bulk: a relaxed YHoSiIr crystal (PBE).

Lattice parameters (Å, degrees): 3.9318 5.7155 5.7155 42.92 90.00 90.00
With the nearest neighbours (Å) after each atom.
Fractional positions:
Y 0.0000 0.0000 0.0000  3 Ir 2.98-3.14, 4 Si 2.98
Ho 0.5000 0.2832 0.2832  4 Ir 2.95, 3 Si 3.03-3.12
Si 0.5000 0.5767 0.5767  2 Ir 2.49
Ir 0.0000 0.7199 0.7199  2 Si 2.49

Summary:
- Symmetry: Amm2
- Uncorrected formation energy: -879 meV per atom



(6)
Entry from Alexandria via LeMat-Bulk: a relaxed Ho2ZnSi2Ir5 crystal (PBE).

Lattice parameters (Å, degrees): 9.6683 9.6683 3.4844 90.00 90.00 90.00
With the nearest neighbours (Å) after each atom.
Fractional positions:
Ho 0.1742 0.3258 0.0000  3 Si 2.73-2.94, 2 Ir 2.95
Ho 0.3258 0.8258 0.0000  3 Si 2.73-2.94, 2 Ir 2.95
Ho 0.6742 0.1742 0.0000  3 Si 2.73-2.94, 2 Ir 2.95
Ho 0.8258 0.6742 0.0000  3 Si 2.73-2.94, 2 Ir 2.95
Zn 0.0000 0.0000 0.0000  8 Ir 2.75
Zn 0.5000 0.5000 0.0000  8 Ir 2.75
Si 0.1260 0.6260 0.0000  6 Ir 2.42-2.45
Si 0.3740 0.1260 0.0000  6 Ir 2.42-2.45
Si 0.6260 0.8740 0.0000  6 Ir 2.42-2.45
Si 0.8740 0.3740 0.0000  6 Ir 2.42-2.45
Ir 0.0000 0.5000 0.5000  4 Si 2.45
Ir 0.0672 0.7902 0.5000  2 Si 2.42
Ir 0.2098 0.0672 0.5000  2 Si 2.42
Ir 0.2902 0.5672 0.5000  2 Si 2.42
Ir 0.4328 0.2902 0.5000  2 Si 2.42
Ir 0.5000 0.0000 0.5000  4 Si 2.45
Ir 0.5672 0.7098 0.5000  2 Si 2.42
Ir 0.7098 0.4328 0.5000  2 Si 2.42
Ir 0.7902 0.9328 0.5000  2 Si 2.42
Ir 0.9328 0.2098 0.5000  2 Si 2.42

Summary:
- Symmetry: P4/mbm
- Uncorrected formation energy: -806 meV per atom



(7)
Entry from Alexandria via LeMat-Bulk: a relaxed Ho2ZnSi3Ir4 crystal (PBE).

Lattice parameters (Å, degrees): 4.1111 4.1111 10.0576 90.00 90.00 90.00
With the nearest neighbours (Å) after each atom.
Fractional positions:
Ho 0.0000 0.5000 0.2494  8 Ir 3.11-3.25, 6 Si 3.16-3.24, 2 Zn 3.24
Ho 0.5000 0.0000 0.7506  8 Ir 3.11-3.25, 6 Si 3.16-3.24, 2 Zn 3.24
Zn 0.5000 0.5000 0.0000  4 Ir 2.48
Si 0.0000 0.0000 0.0000  4 Ir 2.48
Si 0.0000 0.5000 0.6284  5 Ir 2.34-2.43
Si 0.5000 0.0000 0.3716  5 Ir 2.34-2.43
Ir 0.0000 0.0000 0.5000  4 Si 2.43
Ir 0.0000 0.5000 0.8612  3 Si 2.34-2.48, 2 Zn 2.48
Ir 0.5000 0.0000 0.1388  3 Si 2.34-2.48, 2 Zn 2.48
Ir 0.5000 0.5000 0.5000  4 Si 2.43

Summary:
- Symmetry: P-4m2
- Uncorrected formation energy: -937 meV per atom



(8)
Entry from Alexandria via LeMat-Bulk: a relaxed Sm2Ho2Ir3 crystal (PBE).

Lattice parameters (Å, degrees): 8.5372 8.5372 8.5372 32.81 32.81 32.81
With the nearest neighbours (Å) after each atom.
Fractional positions:
Sm 0.1244 0.1244 0.1244  5 Ir 2.97-3.09
Sm 0.8756 0.8756 0.8756  5 Ir 2.97-3.09
Ho 0.3743 0.3743 0.3743  7 Ir 2.95-2.96
Ho 0.6257 0.6257 0.6257  7 Ir 2.95-2.96
Ir 0.0000 0.0000 0.0000  6 Ho 2.96, 2 Sm 3.01
Ir 0.2520 0.2520 0.2520  4 Ho 2.95-2.96, 4 Sm 2.97-3.09
Ir 0.7480 0.7480 0.7480  4 Ho 2.95-2.96, 4 Sm 2.97-3.09

Summary:
- Calculated formation energy: -0.772 eV/atom
- Polymorph energy (0 for the lowest one): 0 meV/atom
- Symmetry: R-3m



(9)
Entry from Alexandria via LeMat-Bulk: a relaxed SmHoIr crystal (PBE).

Lattice parameters (Å, degrees): 4.1371 4.1371 6.2047 90.00 90.00 120.00
With the nearest neighbours (Å) after each atom.
Fractional positions:
Sm 0.0000 0.0000 0.0000  3 Ir 2.81
Ho 0.3333 0.6667 0.4587  3 Ir 2.75
Ir 0.6667 0.3333 0.2383  3 Ho 2.75, 3 Sm 2.81

Summary:
- Calculated formation energy: -0.532 eV/atom
- Polymorph energy (0 for the lowest one): 120 meV/atom
- Symmetry: P3m1



(10)
Entry from Alexandria via LeMat-Bulk: a relaxed Sm2Ho3Ir2 crystal (PBE).

Lattice parameters (Å, degrees): 6.3830 6.3830 8.9755 115.38 115.38 34.86
With the nearest neighbours (Å) after each atom.
Fractional positions:
Sm 0.1663 0.1663 0.3061  2 Ir 2.89
Sm 0.8337 0.8337 0.6939  2 Ir 2.89
Ho 0.3802 0.3802 0.0692  3 Ir 2.83-2.90
Ho 0.5000 0.5000 0.5000  4 Ir 2.95
Ho 0.6198 0.6198 0.9308  3 Ir 2.83-2.90
Ir 0.1736 0.1736 0.7400  5 Ho 2.83-2.95, 2 Sm 2.89
Ir 0.8264 0.8264 0.2600  5 Ho 2.83-2.95, 2 Sm 2.89

Summary:
- Calculated formation energy: -0.611 eV/atom
- Symmetry: C2/m



(11)
Entry from Alexandria via LeMat-Bulk: a relaxed SmHo2Ir2 crystal (PBE).

Lattice parameters (Å, degrees): 4.8074 4.8074 6.0157 90.00 90.00 120.00
With the nearest neighbours (Å) after each atom.
Fractional positions:
Sm 0.0000 0.0000 0.0000  6 Ir 2.97
Ho 0.3333 0.6667 0.6618  5 Ir 2.92-3.10
Ho 0.6667 0.3333 0.3382  5 Ir 2.92-3.10
Ir 0.3333 0.6667 0.1772  5 Ho 2.92-3.10, 3 Sm 2.97
Ir 0.6667 0.3333 0.8228  5 Ho 2.92-3.10, 3 Sm 2.97

Summary:
- Calculated formation energy: -0.746 eV/atom
- Polymorph energy (0 for the lowest one): 0 meV/atom
- Symmetry: P-3m1



(12)
Entry from Alexandria via LeMat-Bulk: a relaxed SmHo2Ir crystal (PBE).

Lattice parameters (Å, degrees): 10.7253 10.7253 10.7253 20.24 20.24 20.24
With the nearest neighbours (Å) after each atom.
Fractional positions:
Sm 0.0000 0.0000 0.0000  2 Ho 3.62, 6 Sm 3.77
Ho 0.1147 0.1147 0.1147  3 Ir 2.72
Ho 0.8853 0.8853 0.8853  3 Ir 2.72
Ir 0.5000 0.5000 0.5000  6 Ho 2.72

Summary:
- Calculated formation energy: -0.167 eV/atom
- Polymorph energy (0 for the lowest one): 397 meV/atom
- Symmetry: R-3m



no.,magnetic moment (μB/f.u.),density of states at the Fermi level (states/eV per cell)
1,0.0,5.23
2,0.0,4.38
3,0.0,2.22
4,0.0,8.19
5,0.0,2.32
6,0.0,3.36
7,0.0,7.51
8,0.0,3.17
9,0.0,1.97
10,0.0,7.18
11,0.0,3.19
12,0.0,4.63